Entry 1:
A plane-wave DFT calculation with PBE was carried out for a relaxed structure of Li2TlCdHg4.

Unit cell a=4.9862 b=4.9862 c=25.6831 alpha=90.00 beta=90.00 gamma=120.00
Space group R-3m (No. 166, hexagonal axes)
Symmetry-distinct sites (fractional):
Li (0.0000, 0.0000, 0.2473) (multiplicity 6)
Tl (0.0000, 0.0000, 0.0000) (multiplicity 3)
Cd (0.0000, 0.0000, 0.5000) (multiplicity 3)
Hg (0.0000, 0.0000, 0.1275) (multiplicity 6)
Hg (0.0000, 0.0000, 0.3817) (multiplicity 6)

Results
- mass density (kg/m³) = 10207
- calculated total energy (eV/cell) = -29.0

=====

Entry 2:
A plane-wave DFT calculation with PBE was carried out for a relaxed structure of SmGdY2.

Unit cell a=3.5935 b=3.5935 c=10.1407 alpha=90.00 beta=90.00 gamma=90.00
Space group P4/mmm (No. 123)
Symmetry-distinct sites (fractional):
Sm (0.0000, 0.0000, 0.0000) (multiplicity 1)
Gd (0.0000, 0.0000, 0.5000) (multiplicity 1)
Y (0.5000, 0.5000, 0.2505) (multiplicity 2)

Results
- mass density (kg/m³) = 6156
- energy above the most stable polymorph in this dataset (meV/atom) = 5
- calculated total energy (eV/cell) = -31.6

=====

Entry 3:
A plane-wave DFT calculation with PBE was carried out for a relaxed structure of Tb5ScTl4.

Unit cell a=3.6476 b=3.6476 c=20.9591 alpha=90.00 beta=90.00 gamma=90.00
Space group P4/mmm (No. 123)
Symmetry-distinct sites (fractional):
Tb (0.0000, 0.0000, 0.0000) (multiplicity 1)
Tb (0.0000, 0.0000, 0.1994) (multiplicity 2)
Tb (0.0000, 0.0000, 0.3966) (multiplicity 2)
Sc (0.5000, 0.5000, 0.5000) (multiplicity 1)
Tl (0.5000, 0.5000, 0.0996) (multiplicity 2)
Tl (0.5000, 0.5000, 0.2983) (multiplicity 2)

Results
- mass density (kg/m³) = 9868
- calculated total energy (eV/cell) = -41.7